Record 1
This record from the Alexandria database describes MgSc2AuN after structural relaxation. The functional is PBE-GGA.

a b c (Å): 4.3791 4.3791 4.3253
angles (deg): 90.00 90.00 90.00
Fractional positions:
Sc (0.0000, 0.5000, 0.0000)
Sc (0.5000, 0.0000, 0.0000)
N (0.0000, 0.0000, 0.0000)
Mg (0.0000, 0.0000, 0.5000)
Au (0.5000, 0.5000, 0.5000)

Summary:
Calculated total energy in eV/atom: -6.156
ΔE_f (raw) in eV per atom: -0.98



Record 2
This record from the Alexandria database describes MgAuSe2N after structural relaxation. The functional is PBE-GGA.

a b c (Å): 5.3341 5.3341 3.7895
angles (deg): 90.00 90.00 90.00
Fractional positions:
Se (0.0000, 0.5000, 0.0000)
Se (0.5000, 0.0000, 0.0000)
Mg (0.5000, 0.5000, 0.5000)
N (0.0000, 0.0000, 0.5000)
Au (0.0000, 0.0000, 0.0000)

Summary:
Calculated total energy in eV/atom: -3.390
Energy above the lowest structure with this stoichiometry in eV/atom: 0.0000
ΔE_f (raw) in eV per atom: 0.64



Record 3
This record from the Alexandria database describes MgAuSe2N after structural relaxation. The functional is PBE-GGA.

a b c (Å): 5.1420 5.1420 3.9323
angles (deg): 90.00 90.00 90.00
Fractional positions:
Se (0.5000, 0.0000, 0.0000)
Se (0.0000, 0.5000, 0.0000)
Mg (0.0000, 0.0000, 0.0000)
Au (0.5000, 0.5000, 0.5000)
N (0.0000, 0.0000, 0.5000)

Summary:
Calculated total energy in eV/atom: -3.217
Energy above the lowest structure with this stoichiometry in eV/atom: 0.1725
ΔE_f (raw) in eV per atom: 0.82



Record 4
This record from the Alexandria database describes SrMg2AuN after structural relaxation. The functional is PBE-GGA.

a b c (Å): 4.3435 4.3435 5.2750
angles (deg): 90.00 90.00 90.00
Fractional positions:
Sr (0.0000, 0.0000, 0.5000)
N (0.0000, 0.0000, 0.0000)
Mg (0.5000, 0.0000, 0.0000)
Mg (0.0000, 0.5000, 0.0000)
Au (0.5000, 0.5000, 0.5000)

Summary:
Calculated total energy in eV/atom: -3.790
ΔE_f (raw) in eV per atom: -0.50